Record 1
Here is an optimized crystal structure of Cs2Ag2Cl7 from the Alexandria database. Energies are from PBE.

N(E_F) = 0.289 states/eV/atom
energy relative to the elements, uncorrected = -0.912 eV per atom

Cell: 9.5207 9.5207 4.8218 Å, 101.84 101.84 100.01°
Sites, in units of the cell vectors:
1 Cs 0.2317 0.7683 0.0000
2 Cs 0.7683 0.2317 0.0000
3 Ag 0.2901 0.2901 0.3840
4 Ag 0.7099 0.7099 0.6160
5 Cl 0.0962 0.0962 0.4113
6 Cl 0.1306 0.4533 0.3480
7 Cl 0.4533 0.1306 0.3480
8 Cl 0.5000 0.5000 0.5000
9 Cl 0.5467 0.8694 0.6520
10 Cl 0.8694 0.5467 0.6520
11 Cl 0.9038 0.9038 0.5887

---

Record 2
Here is an optimized crystal structure of Cs4AgCl7 from the Alexandria database. Energies are from PBE.

N(E_F) = 0.267 states/eV/atom
energy relative to the elements, uncorrected = -1.403 eV per atom

Cell: 9.4643 9.4643 11.7361 Å, 117.76 117.76 31.74°
Sites, in units of the cell vectors:
1 Cs 0.0498 0.0498 0.2308
2 Cs 0.2170 0.2170 0.8055
3 Cs 0.7830 0.7830 0.1945
4 Cs 0.9502 0.9502 0.7692
5 Ag 0.5000 0.5000 0.5000
6 Cl 0.0000 0.0000 0.5000
7 Cl 0.1460 0.1460 0.0450
8 Cl 0.2550 0.2550 0.5070
9 Cl 0.4351 0.4351 0.2661
10 Cl 0.5649 0.5649 0.7339
11 Cl 0.7450 0.7450 0.4930
12 Cl 0.8540 0.8540 0.9550

---

Record 3
Here is an optimized crystal structure of Cs3Ag4Cl9 from the Alexandria database. Energies are from PBE.

N(E_F) = 0.389 states/eV/atom
energy relative to the elements, uncorrected = -1.018 eV per atom

Cell: 10.8000 10.8000 10.8000 Å, 39.65 39.65 39.65°
Sites, in units of the cell vectors:
1 Cs 0.0000 0.0000 0.0000
2 Cs 0.4262 0.4262 0.4262
3 Cs 0.5738 0.5738 0.5738
4 Ag 0.1632 0.1632 0.1632
5 Ag 0.2809 0.2809 0.2809
6 Ag 0.7191 0.7191 0.7191
7 Ag 0.8368 0.8368 0.8368
8 Cl 0.0000 0.5000 0.5000
9 Cl 0.0608 0.0608 0.5554
10 Cl 0.0608 0.5554 0.0608
11 Cl 0.4446 0.9392 0.9392
12 Cl 0.5000 0.0000 0.5000
13 Cl 0.5000 0.5000 0.0000
14 Cl 0.5554 0.0608 0.0608
15 Cl 0.9392 0.4446 0.9392
16 Cl 0.9392 0.9392 0.4446

---

Record 4
Here is an optimized crystal structure of CsCu4Ag3Cl12 from the Alexandria database. Energies are from PBE.

N(E_F) = 0.743 states/eV/atom
energy relative to the elements, uncorrected = -0.595 eV per atom

Cell: 8.6199 8.6199 8.6199 Å, 104.36 104.36 104.36°
Sites, in units of the cell vectors:
1 Cs 0.0000 0.0000 0.0000
2 Cu 0.0777 0.5000 0.9223
3 Cu 0.5000 0.5000 0.5000
4 Cu 0.5000 0.9223 0.0777
5 Cu 0.9223 0.0777 0.5000
6 Ag 0.0000 0.5711 0.4289
7 Ag 0.4289 0.0000 0.5711
8 Ag 0.5711 0.4289 0.0000
9 Cl 0.0036 0.2578 0.3787
10 Cl 0.0854 0.9146 0.5000
11 Cl 0.2578 0.3787 0.0036
12 Cl 0.3380 0.6620 0.5000
13 Cl 0.3787 0.0036 0.2578
14 Cl 0.5000 0.0854 0.9146
15 Cl 0.5000 0.3380 0.6620
16 Cl 0.6213 0.7422 0.9964
17 Cl 0.6620 0.5000 0.3380
18 Cl 0.7422 0.9964 0.6213
19 Cl 0.9146 0.5000 0.0854
20 Cl 0.9964 0.6213 0.7422

---

no.,E_tot (eV per atom)
1,-2.761
2,-3.003
3,-2.929
4,-2.993